(1)
The following is a PBE calculation of PmY2Zn2 after structural relaxation, from Alexandria via LeMat-Bulk.

Cell lengths 4.5041, 4.4873, 13.1184 Å; angles 90.00, 98.21, 90.00 degrees
Positions (direct):
Pm  0.1453  0.2500  0.2719
Pm  0.8547  0.7500  0.7281
Y  0.2392  0.7500  0.4765
Y  0.4415  0.2500  0.8902
Y  0.5585  0.7500  0.1098
Y  0.7608  0.2500  0.5235
Zn  0.0095  0.2500  0.0469
Zn  0.3210  0.2500  0.6629
Zn  0.6790  0.7500  0.3371
Zn  0.9905  0.7500  0.9531

The value obtained for the energy above the most stable polymorph in this dataset is 0.096 eV/atom. The value obtained for the formation energy is -0.8 eV per formula unit. Its space group is P2_1/m. Its volume is 262.42 Å³ per cell. The density of states at the Fermi level is 11.250 states/eV/cell.


(2)
The following is a PBE calculation of BaSiPd3 after structural relaxation, from Alexandria via LeMat-Bulk.

Cell lengths 4.7811, 4.7811, 4.7811 Å; angles 90.00, 90.00, 90.00 degrees
Positions (direct):
Ba  0.0000  0.0000  0.0000
Si  0.5000  0.5000  0.5000
Pd  0.0000  0.5000  0.5000
Pd  0.5000  0.0000  0.5000
Pd  0.5000  0.5000  0.0000

The value obtained for the energy above the most stable polymorph in this dataset is 0.151 eV/atom. Its space group is Pm-3m. Its volume is 109.29 Å³ per cell. The density of states at the Fermi level is 3.913 states/eV/cell. As for the formation energy without anion corrections: -0.509 eV/atom.


(3)
The following is a PBE calculation of NpAlGe after structural relaxation, from Alexandria via LeMat-Bulk.

Cell lengths 5.0154, 5.0154, 5.0154 Å; angles 133.40, 133.40, 68.03 degrees
Positions (direct):
Np  0.0000  0.0000  0.0000
Al  0.3481  0.3481  0.0000
Ge  0.6545  0.6545  0.0000

The value obtained for the formation energy is 0.8 eV per formula unit. Its space group is I4mm. Its volume is 65.44 Å³ per cell. The density of states at the Fermi level is 7.926 states/eV/cell.


(4)
The following is a PBE calculation of AcTlBO4 after structural relaxation, from Alexandria via LeMat-Bulk.

Cell lengths 5.4788, 5.4788, 7.4945 Å; angles 90.00, 90.00, 119.89 degrees
Positions (direct):
Ac  0.1935  0.8065  0.7500
Ac  0.8065  0.1935  0.2500
Tl  0.5000  0.5000  0.0000
Tl  0.5000  0.5000  0.5000
B  0.1503  0.8497  0.2500
B  0.8497  0.1503  0.7500
O  0.1680  0.2751  0.7500
O  0.2368  0.7632  0.0869
O  0.2368  0.7632  0.4131
O  0.2751  0.1680  0.2500
O  0.7249  0.8320  0.7500
O  0.7632  0.2368  0.5869
O  0.7632  0.2368  0.9131
O  0.8320  0.7249  0.2500

Its space group is Cmcm. Its volume is 195.04 Å³ per cell. The density of states at the Fermi level is 4.137 states/eV/cell. As for the formation energy without anion corrections: -2.151 eV/atom.


(5)
The following is a PBE calculation of TlCo2B after structural relaxation, from Alexandria via LeMat-Bulk.

Cell lengths 4.1244, 4.1244, 4.1244 Å; angles 60.00, 60.00, 60.00 degrees
Positions (direct):
Tl  0.0000  0.0000  0.0000
Co  0.2500  0.2500  0.2500
Co  0.7500  0.7500  0.7500
B  0.5000  0.5000  0.5000

The value obtained for the energy above the most stable polymorph in this dataset is 0.304 eV/atom. The value obtained for the formation energy is 3.7 eV per formula unit. Its space group is Fm-3m. Its volume is 49.61 Å³ per cell. The density of states at the Fermi level is 2.997 states/eV/cell.


(6)
The following is a PBE calculation of NdGe2Os after structural relaxation, from Alexandria via LeMat-Bulk.

Cell lengths 5.6541, 5.6541, 5.6541 Å; angles 44.07, 44.07, 44.07 degrees
Positions (direct):
Nd  0.0000  0.0000  0.0000
Ge  0.2176  0.2176  0.2176
Ge  0.7824  0.7824  0.7824
Os  0.5000  0.5000  0.5000

The value obtained for the formation energy is -1.8 eV per formula unit. Its space group is R-3m. Its volume is 79.44 Å³ per cell. The density of states at the Fermi level is 2.201 states/eV/cell.


(7)
The following is a PBE calculation of Tb4SmY15 after structural relaxation, from Alexandria via LeMat-Bulk.

Cell lengths 5.0511, 5.0511, 25.2475 Å; angles 90.00, 90.00, 90.00 degrees
Positions (direct):
Tb  0.0000  0.0000  0.0999
Tb  0.0000  0.0000  0.2998
Tb  0.0000  0.0000  0.7002
Tb  0.0000  0.0000  0.9001
Sm  0.0000  0.0000  0.5000
Y  0.0000  0.5000  0.0000
Y  0.0000  0.5000  0.1998
Y  0.0000  0.5000  0.3994
Y  0.0000  0.5000  0.6006
Y  0.0000  0.5000  0.8002
Y  0.5000  0.0000  0.0000
Y  0.5000  0.0000  0.1998
Y  0.5000  0.0000  0.3994
Y  0.5000  0.0000  0.6006
Y  0.5000  0.0000  0.8002
Y  0.5000  0.5000  0.1000
Y  0.5000  0.5000  0.2995
Y  0.5000  0.5000  0.5000
Y  0.5000  0.5000  0.7005
Y  0.5000  0.5000  0.9000

The value obtained for the formation energy is 0.4 eV per formula unit. Its space group is P4/mmm. Its volume is 644.16 Å³ per cell. The density of states at the Fermi level is 28.386 states/eV/cell.


(8)
The following is a PBE calculation of FeSbOsI2 after structural relaxation, from Alexandria via LeMat-Bulk.

Cell lengths 5.5445, 5.5445, 5.0151 Å; angles 90.00, 90.00, 90.00 degrees
Positions (direct):
Fe  0.0000  0.0000  0.0000
Sb  0.5000  0.5000  0.0000
Os  0.5000  0.5000  0.5000
I  0.0000  0.5000  0.5000
I  0.5000  0.0000  0.5000

The value obtained for the energy above the most stable polymorph in this dataset is 0.000 eV/atom. Its space group is P4/mmm. Its volume is 154.17 Å³ per cell. The density of states at the Fermi level is 7.421 states/eV/cell. As for the formation energy without anion corrections: 1.205 eV/atom.


(9)
The following is a PBE calculation of AcTlGa after structural relaxation, from Alexandria via LeMat-Bulk.

Cell lengths 4.7081, 4.7081, 4.7053 Å; angles 90.00, 90.00, 120.00 degrees
Positions (direct):
Ac  0.0000  0.0000  0.0000
Tl  0.3333  0.6667  0.5484
Ga  0.6667  0.3333  0.4067

The value obtained for the energy above the most stable polymorph in this dataset is 0.048 eV/atom. The value obtained for the formation energy is -1.2 eV per formula unit. Its space group is P3m1. Its volume is 90.33 Å³ per cell. The density of states at the Fermi level is 1.610 states/eV/cell.


(10)
The following is a PBE calculation of AlZn2Ag8 after structural relaxation, from Alexandria via LeMat-Bulk.

Cell lengths 7.5951, 7.5951, 6.3776 Å; angles 104.03, 104.03, 31.73 degrees
Positions (direct):
Al  0.0000  0.0000  0.0000
Zn  0.2772  0.2772  0.3581
Zn  0.7228  0.7228  0.6419
Ag  0.0950  0.0950  0.4547
Ag  0.1796  0.1796  0.9183
Ag  0.3578  0.3578  0.8027
Ag  0.4551  0.4551  0.2649
Ag  0.5449  0.5449  0.7351
Ag  0.6422  0.6422  0.1973
Ag  0.8204  0.8204  0.0817
Ag  0.9050  0.9050  0.5453

The value obtained for the energy above the most stable polymorph in this dataset is 0.000 eV/atom. The value obtained for the formation energy is -0.2 eV per formula unit. Its space group is C2/m. Its volume is 187.21 Å³ per cell. The density of states at the Fermi level is 2.967 states/eV/cell.


(11)
The following is a PBE calculation of K2NaSb after structural relaxation, from Alexandria via LeMat-Bulk.

Cell lengths 13.9130, 13.9130, 13.9130 Å; angles 15.77, 15.77, 15.77 degrees
Positions (direct):
K  0.0804  0.0804  0.0804
K  0.9196  0.9196  0.9196
Na  0.5000  0.5000  0.5000
Sb  0.0000  0.0000  0.0000

Its space group is R-3m. Its volume is 173.27 Å³ per cell. The density of states at the Fermi level is 3.270 states/eV/cell. As for the formation energy without anion corrections: 0.177 eV/atom.


- Which formula does entry 7 have?
  Tb4SmY15